A relaxed structure of ThSiPd3. Source: Alexandria, functional PBE.

Results
The crystal system is tetragonal. For the distance to the lowest polymorph of the same formula, the calculation gives 325 meV per atom. The value obtained for the formation energy without anion corrections is -522 meV per atom.

a = 5.2344 Å, b = 5.2344 Å, c = 15.7675 Å
α = 90.00°, β = 90.00°, γ = 90.00°
Last column: nearest neighbours and their distance in Å.
Space group I-4m2 (No. 119)
Inequivalent atoms, fractional coordinates:
Th1 0.0000 0.0000 0.1497 x4  6 Pd 2.96-3.12, 2 Si 3.06
Si1 0.0000 0.0000 0.5000 x2  4 Pd 2.38
Si2 0.0000 0.5000 0.7500 x2  4 Pd 2.36
Pd1 0.0000 0.2435 0.6271 x8  2 Si 2.36-2.38, 1 Pd 2.55
Pd2 0.0000 0.5000 0.0426 x4  2 Si 2.70, 2 Pd 2.99